The following is a GGA-PBE calculation of a relaxed Sn3Pb5Br12 crystal, from the Alexandria database.

a = 15.872 Å, b = 15.872 Å, c = 15.872 Å
α = 109.47°, β = 109.47°, γ = 109.47°
Site moments in Bohr magnetons follow the coordinates.
Positions (direct):
Sn 0.375 0.625 0.250  0.20
Sn 0.125 0.875 0.750  0.20
Br 0.610 0.724 0.674  0.01
Pb 0.750 0.625 0.375  0.00
Pb 0.875 0.625 0.750  0.00
Br 0.826 0.890 0.276  0.01
Pb 0.500 0.000 0.000  0.02
Br 0.436 0.051 0.326  0.01
Pb 0.500 0.500 0.500  0.02
Br 0.326 0.776 0.390  0.01
Pb 0.250 0.375 0.625  0.00
Sn 0.750 0.875 0.625  0.20
Sn 0.375 0.750 0.625  0.20
Br 0.110 0.936 0.386  0.01
Br 0.114 0.390 0.064  0.01
Br 0.936 0.826 0.551  0.01
Br 0.949 0.386 0.276  0.01
Br 0.174 0.064 0.949  0.01
Br 0.449 0.776 0.886  0.01
Br 0.051 0.436 0.826  0.01
Sn 0.750 0.375 0.125  0.20
Pb 0.875 0.250 0.625  0.00
Br 0.610 0.886 0.436  0.01
Br 0.276 0.390 0.826  0.01
Br 0.614 0.564 0.890  0.01
Pb 0.125 0.375 0.250  0.00
Sn 0.625 0.250 0.375  0.20
Br 0.936 0.110 0.886  0.01
Br 0.276 0.886 0.949  0.01
Pb 0.625 0.875 0.250  0.00
Pb 0.500 0.500 0.000  0.02
Pb 0.000 0.000 0.500  0.02
Pb 0.500 0.000 0.500  0.02
Sn 0.875 0.750 0.125  0.20
Br 0.064 0.174 0.449  0.01
Pb 0.625 0.750 0.875  0.00
Br 0.776 0.326 0.890  0.01
Pb 0.375 0.250 0.125  0.00
Br 0.551 0.224 0.114  0.01
Br 0.890 0.064 0.614  0.01
Br 0.224 0.551 0.614  0.01
Br 0.890 0.826 0.776  0.01
Br 0.886 0.610 0.936  0.01
Pb 0.000 0.500 0.000  0.02
Br 0.776 0.449 0.386  0.01
Br 0.674 0.224 0.610  0.01
Br 0.224 0.674 0.110  0.01
Br 0.064 0.890 0.114  0.01
Br 0.051 0.614 0.724  0.01
Br 0.826 0.936 0.051  0.01
Pb 0.250 0.875 0.125  0.00
Br 0.551 0.326 0.936  0.01
Br 0.386 0.949 0.776  0.01
Br 0.436 0.386 0.610  0.01
Br 0.326 0.551 0.436  0.01
Br 0.564 0.614 0.390  0.01
Br 0.886 0.276 0.449  0.01
Br 0.114 0.724 0.551  0.01
Br 0.386 0.436 0.110  0.01
Br 0.110 0.174 0.224  0.01
Br 0.390 0.114 0.564  0.01
Sn 0.125 0.250 0.875  0.20
Br 0.449 0.674 0.064  0.01
Br 0.724 0.610 0.174  0.01
Pb 0.000 0.500 0.500  0.02
Sn 0.250 0.625 0.875  0.20
Sn 0.875 0.125 0.250  0.20
Pb 0.750 0.125 0.875  0.00
Pb 0.125 0.750 0.375  0.00
Br 0.674 0.449 0.564  0.01
Sn 0.250 0.125 0.375  0.20
Pb 0.000 0.000 0.000  0.02
Sn 0.625 0.375 0.750  0.20
Br 0.390 0.276 0.326  0.01
Br 0.724 0.114 0.051  0.01
Br 0.174 0.110 0.724  0.01
Br 0.949 0.564 0.174  0.01
Pb 0.375 0.125 0.750  0.00
Br 0.564 0.949 0.674  0.01
Br 0.614 0.051 0.224  0.01

Values from the calculation:
E_form (uncorrected)   -0.48 eV per atom